# MnRuAu2 PBE optimized geometry
# formation enthalpy at 0 K: 56.1 kJ per mole of atoms
data_MnRuAu2
_chemical_formula_sum 'Mn4 Ru4 Au8'
_cell_length_a 7.278
_cell_length_b 7.278
_cell_length_c 5.365
_cell_angle_alpha 90.00
_cell_angle_beta 90.00
_cell_angle_gamma 90.00
_space_group_name_H-M_alt 'I -4 2 d'
_space_group_IT_number 122
_space_group_name_Hall 'I -4 2bw'
loop_
_atom_site_label
_atom_site_fract_x
_atom_site_fract_y
_atom_site_fract_z
Mn1 0.000 0.000 0.000
Ru1 0.000 0.000 0.500
Au1 0.244 0.250 0.125



# MnRu2Au PBE optimized geometry
# formation enthalpy at 0 K: 27.7 kJ per mole of atoms
data_MnRu2Au
_chemical_formula_sum 'Mn2 Ru4 Au2'
_cell_length_a 3.862
_cell_length_b 3.862
_cell_length_c 7.884
_cell_angle_alpha 90.00
_cell_angle_beta 90.00
_cell_angle_gamma 90.00
_space_group_name_H-M_alt 'I 4/m m m'
_space_group_IT_number 139
_space_group_name_Hall '-I 4 2'
loop_
_atom_site_label
_atom_site_fract_x
_atom_site_fract_y
_atom_site_fract_z
Mn1 0.000 0.000 0.000
Ru1 0.000 0.500 0.250
Au1 0.000 0.000 0.500



# MnRuAu2 PBE optimized geometry
# formation enthalpy at 0 K: 17.2 kJ per mole of atoms
data_MnRuAu2
_chemical_formula_sum 'Mn3 Ru3 Au6'
_cell_length_a 2.8730
_cell_length_b 2.8730
_cell_length_c 27.0025
_cell_angle_alpha 90.00
_cell_angle_beta 90.00
_cell_angle_gamma 120.00
_space_group_name_H-M_alt 'R 3 m'
_space_group_IT_number 160
_space_group_name_Hall 'R 3 -2"'
loop_
_atom_site_label
_atom_site_fract_x
_atom_site_fract_y
_atom_site_fract_z
Mn1 0.0000 0.0000 0.0000
Ru1 0.0000 0.0000 0.2629
Au1 0.0000 0.0000 0.5077
Au2 0.0000 0.0000 0.7481



# MnRuAu4 PBE optimized geometry
# formation enthalpy at 0 K: 51.0 kJ per mole of atoms
data_MnRuAu4
_chemical_formula_sum 'Mn4 Ru4 Au16'
_cell_length_a 7.643
_cell_length_b 7.643
_cell_length_c 7.643
_cell_angle_alpha 90.00
_cell_angle_beta 90.00
_cell_angle_gamma 90.00
_space_group_name_H-M_alt 'F -4 3 m'
_space_group_IT_number 216
_space_group_name_Hall 'F -4 2 3'
loop_
_atom_site_label
_atom_site_fract_x
_atom_site_fract_y
_atom_site_fract_z
Mn1 0.000 0.000 0.000
Ru1 0.250 0.250 0.250
Au1 0.125 0.125 0.625



# Mn2RuAu2 PBE optimized geometry
# formation enthalpy at 0 K: 69.1 kJ per mole of atoms
data_Mn2RuAu2
_chemical_formula_sum 'Mn4 Ru2 Au4'
_cell_length_a 3.781
_cell_length_b 3.781
_cell_length_c 11.214
_cell_angle_alpha 90.00
_cell_angle_beta 90.00
_cell_angle_gamma 90.00
_space_group_name_H-M_alt 'I 4/m m m'
_space_group_IT_number 139
_space_group_name_Hall '-I 4 2'
loop_
_atom_site_label
_atom_site_fract_x
_atom_site_fract_y
_atom_site_fract_z
Mn1 0.000 0.000 0.083
Ru1 0.000 0.000 0.500
Au1 0.000 0.500 0.250



# MnRu2Au PBE optimized geometry
# formation enthalpy at 0 K: 15.1 kJ per mole of atoms
data_MnRu2Au
_chemical_formula_sum 'Mn1 Ru2 Au1'
_cell_length_a 2.790
_cell_length_b 2.790
_cell_length_c 7.759
_cell_angle_alpha 90.00
_cell_angle_beta 90.00
_cell_angle_gamma 90.00
_space_group_name_H-M_alt 'P 4 m m'
_space_group_IT_number 99
loop_
_space_group_symop_operation_xyz
'x,y,z'
'-y,x,z'
'-x,-y,z'
'y,-x,z'
'-x,y,z'
'y,x,z'
'x,-y,z'
'-y,-x,z'
loop_
_atom_site_label
_atom_site_fract_x
_atom_site_fract_y
_atom_site_fract_z
Mn1 0.000 0.000 0.000
Ru1 0.000 0.000 0.461
Ru2 0.500 0.500 0.243
Au1 0.500 0.500 0.740